## MnCrTcPdRh (PBE-GGA)

Data for MnCrTcPdRh after structural relaxation.

Values from the calculation:
- Formation energy from the elements: 1.1 kJ per mole of atoms
- Excess energy over the best structure of this formula in the dataset: 0 meV per atom
- D(E_F): 0.809 states/eV/atom
- Total magnetic moment: 0.0 μB/f.u.

Cell: 2.665 3.968 12.640 Å, 90.00 90.00 90.00°
Space group Amm2 (No. 38)
Asymmetric unit:
Mn 0.000 0.000 0.000 x2
Cr 0.000 0.000 0.409 x2
Tc 0.500 0.000 0.825 x2
Pd 0.000 0.000 0.204 x2
Rh 0.500 0.000 0.583 x2

## Mn2CrPdS (PBE-GGA)

Data for Mn2CrPdS after structural relaxation.

Values from the calculation:
- Formation energy (no corrections): 984 meV/atom
- D(E_F): 0.744 states/eV/atom
- Total magnetic moment: 14.0 μB/f.u.

Cell: 4.895 4.895 4.584 Å, 90.00 90.00 90.00°
Space group P4/mmm (No. 123)
Asymmetric unit:
Mn 0.000 0.500 0.000 x2
Cr 0.000 0.000 0.500 x1
Pd 0.500 0.500 0.000 x1
S 0.500 0.500 0.500 x1

## MnCrSb2Pd (PBE-GGA)

Data for MnCrSb2Pd after structural relaxation.

Values from the calculation:
- Formation energy (no corrections): 648 meV/atom
- D(E_F): 0.822 states/eV/atom
- Total magnetic moment: 3.1 μB/f.u.

Cell: 4.931 4.931 4.530 Å, 90.00 90.00 90.00°
Space group P4/mmm (No. 123)
Asymmetric unit:
Mn 0.000 0.000 0.000 x1
Cr 0.000 0.000 0.500 x1
Sb 0.000 0.500 0.500 x2
Pd 0.500 0.500 0.000 x1